# Co4B2S6O25, relaxed, DFT GGA+U
# **Final energy**: -6.299 eV/atom
# **Size of the total moment**: 12.0 μB per cell
data_Co4B2S6O25
_chemical_formula_sum 'Co4 B2 S6 O25'
_cell_length_a 7.9104
_cell_length_b 7.9104
_cell_length_c 7.4696
_cell_angle_alpha 90.00
_cell_angle_beta 90.00
_cell_angle_gamma 120.00
_symmetry_space_group_name_H-M 'P -3'
_symmetry_Int_Tables_number 147
loop_
_symmetry_equiv_pos_as_xyz
'x,y,z'
'-x,-y,-z'
'-y,x-y,z'
'y,-x+y,-z'
'-x+y,-x,z'
'x-y,x,-z'
loop_
_atom_site_label
_atom_site_type_symbol
_atom_site_fract_x
_atom_site_fract_y
_atom_site_fract_z
Co1 Co 0.3333 0.6667 0.0540
Co2 Co 0.3333 0.6667 0.4505
B1 B 0.0000 0.0000 0.3195
S1 S 0.0439 0.6914 0.7516
O1 O 0.0000 0.0000 0.5000
O2 O 0.0666 0.1975 0.2385
O3 O 0.1112 0.5191 0.2507
O4 O 0.1586 0.7422 0.5865
O5 O 0.1620 0.7386 0.9131